8
Lattice="3.4753 0.0000 0.0000 0.0000 3.4753 0.0000 0.0000 0.0000 7.3174" Properties=species:S:1:pos:R:3 comment="YErCo2B2O2, optimized geometry, DFT GGA+U" space_group="No. 99" magnetic_moment_mub_per_cell=0.018 final_energy_ev_per_atom=-6.898 pbc="T T T"
Y 0.0000 0.0000 0.0000
Er 1.7376 1.7376 2.8108
Co 0.0000 1.7376 5.0424
Co 1.7376 0.0000 5.0424
B 0.0000 0.0000 4.0318
B 1.7376 1.7376 6.0365
O 0.0000 0.0000 2.3930
O 1.7376 1.7376 0.4386